# Sc4BiSe2, relaxed, DFT PBE
# distance to the lowest polymorph of the same formula: 0.0835 eV/atom
# space group: No. 166
# raw formation energy: -101 kJ per mole of atoms
# D(E_F): 0.963 states/eV per atom
data_Sc4BiSe2
_space_group_name_H-M_alt 'P 1'
_space_group_IT_number 1
_cell_length_a 13.043
_cell_length_b 13.043
_cell_length_c 13.043
_cell_angle_alpha 16.90
_cell_angle_beta 16.90
_cell_angle_gamma 16.90
loop_
_space_group_symop_operation_xyz
'x,y,z'
loop_
_atom_site_label
_atom_site_fract_x
_atom_site_fract_y
_atom_site_fract_z
Sc1 0.134 0.134 0.134
Sc2 0.281 0.281 0.281
Sc3 0.719 0.719 0.719
Sc4 0.866 0.866 0.866
Bi1 0.000 0.000 0.000
Se1 0.426 0.426 0.426
Se2 0.574 0.574 0.574



# Sc6Si2BiSe3, relaxed, DFT PBE
# space group: No. 12
# raw formation energy: -111 kJ per mole of atoms
# D(E_F): 0.209 states/eV per atom
data_Sc6Si2BiSe3
_space_group_name_H-M_alt 'P 1'
_space_group_IT_number 1
_cell_length_a 8.824
_cell_length_b 8.824
_cell_length_c 7.966
_cell_angle_alpha 103.12
_cell_angle_beta 103.12
_cell_angle_gamma 25.67
loop_
_space_group_symop_operation_xyz
'x,y,z'
loop_
_atom_site_label
_atom_site_fract_x
_atom_site_fract_y
_atom_site_fract_z
Sc1 0.008 0.008 0.270
Sc2 0.325 0.325 0.893
Sc3 0.329 0.329 0.423
Sc4 0.671 0.671 0.577
Sc5 0.675 0.675 0.107
Sc6 0.992 0.992 0.730
Si1 0.168 0.168 0.338
Si2 0.832 0.832 0.662
Bi1 0.500 0.500 0.000
Se1 0.163 0.163 0.834
Se2 0.500 0.500 0.500
Se3 0.837 0.837 0.166



# Sc2SnBiSe, relaxed, DFT PBE
# space group: No. 123
# raw formation energy: -24 kJ per mole of atoms
# D(E_F): 1.205 states/eV per atom
data_Sc2SnBiSe
_space_group_name_H-M_alt 'P 1'
_space_group_IT_number 1
_cell_length_a 5.073
_cell_length_b 5.073
_cell_length_c 5.549
_cell_angle_alpha 90.00
_cell_angle_beta 90.00
_cell_angle_gamma 90.00
loop_
_space_group_symop_operation_xyz
'x,y,z'
loop_
_atom_site_label
_atom_site_fract_x
_atom_site_fract_y
_atom_site_fract_z
Sc1 0.000 0.500 0.000
Sc2 0.500 0.000 0.000
Sn1 0.000 0.000 0.500
Bi1 0.500 0.500 0.500
Se1 0.000 0.000 0.000



# Sr2Sc2Bi2Se, relaxed, DFT PBE
# space group: No. 139
# raw formation energy: -93 kJ per mole of atoms
# D(E_F): 0.921 states/eV per atom
data_Sr2Sc2Bi2Se
_space_group_name_H-M_alt 'P 1'
_space_group_IT_number 1
_cell_length_a 5.075
_cell_length_b 5.075
_cell_length_c 17.232
_cell_angle_alpha 90.00
_cell_angle_beta 90.00
_cell_angle_gamma 90.00
loop_
_space_group_symop_operation_xyz
'x,y,z'
loop_
_atom_site_label
_atom_site_fract_x
_atom_site_fract_y
_atom_site_fract_z
Sr1 0.000 0.000 0.175
Sr2 0.000 0.000 0.825
Sr3 0.500 0.500 0.325
Sr4 0.500 0.500 0.675
Sc1 0.000 0.500 0.000
Sc2 0.000 0.500 0.500
Sc3 0.500 0.000 0.000
Sc4 0.500 0.000 0.500
Bi1 0.000 0.000 0.377
Bi2 0.000 0.000 0.623
Bi3 0.500 0.500 0.123
Bi4 0.500 0.500 0.877
Se1 0.000 0.000 0.000
Se2 0.500 0.500 0.500



# TbScBiSe, relaxed, DFT PBE
# space group: No. 160
# raw formation energy: -107 kJ per mole of atoms
# D(E_F): 0.487 states/eV per atom
data_TbScBiSe
_space_group_name_H-M_alt 'P 1'
_space_group_IT_number 1
_cell_length_a 4.068
_cell_length_b 4.068
_cell_length_c 22.097
_cell_angle_alpha 90.00
_cell_angle_beta 90.00
_cell_angle_gamma 120.00
loop_
_space_group_symop_operation_xyz
'x,y,z'
loop_
_atom_site_label
_atom_site_fract_x
_atom_site_fract_y
_atom_site_fract_z
Tb1 0.000 0.000 0.000
Tb2 0.333 0.667 0.667
Tb3 0.667 0.333 0.333
Sc1 0.000 0.000 0.161
Sc2 0.333 0.667 0.827
Sc3 0.667 0.333 0.494
Bi1 0.000 0.000 0.573
Bi2 0.333 0.667 0.240
Bi3 0.667 0.333 0.907
Se1 0.000 0.000 0.752
Se2 0.333 0.667 0.419
Se3 0.667 0.333 0.086



# Sc4BiTe2Se, relaxed, DFT PBE
# space group: No. 10
# raw formation energy: -107 kJ per mole of atoms
# D(E_F): 0.625 states/eV per atom
data_Sc4BiTe2Se
_space_group_name_H-M_alt 'P 1'
_space_group_IT_number 1
_cell_length_a 7.153
_cell_length_b 4.098
_cell_length_c 7.169
_cell_angle_alpha 90.00
_cell_angle_beta 109.22
_cell_angle_gamma 90.00
loop_
_space_group_symop_operation_xyz
'x,y,z'
loop_
_atom_site_label
_atom_site_fract_x
_atom_site_fract_y
_atom_site_fract_z
Sc1 0.222 0.000 0.221
Sc2 0.235 0.500 0.767
Sc3 0.765 0.500 0.233
Sc4 0.778 0.000 0.779
Bi1 0.000 0.000 0.500
Te1 0.500 0.000 0.000
Te2 0.500 0.500 0.500
Se1 0.000 0.500 0.000



# Sc4BiTeSe2, relaxed, DFT PBE
# space group: No. 10
# raw formation energy: -120 kJ per mole of atoms
# D(E_F): 0.511 states/eV per atom
data_Sc4BiTeSe2
_space_group_name_H-M_alt 'P 1'
_space_group_IT_number 1
_cell_length_a 6.947
_cell_length_b 4.006
_cell_length_c 7.092
_cell_angle_alpha 90.00
_cell_angle_beta 108.98
_cell_angle_gamma 90.00
loop_
_space_group_symop_operation_xyz
'x,y,z'
loop_
_atom_site_label
_atom_site_fract_x
_atom_site_fract_y
_atom_site_fract_z
Sc1 0.236 0.000 0.215
Sc2 0.260 0.500 0.782
Sc3 0.740 0.500 0.218
Sc4 0.764 0.000 0.785
Bi1 0.000 0.000 0.500
Te1 0.500 0.500 0.500
Se1 0.000 0.500 0.000
Se2 0.500 0.000 0.000



# ThScBiSe, relaxed, DFT PBE
# space group: No. 166
# raw formation energy: -88 kJ per mole of atoms
# D(E_F): 0.859 states/eV per atom
data_ThScBiSe
_space_group_name_H-M_alt 'P 1'
_space_group_IT_number 1
_cell_length_a 10.911
_cell_length_b 10.911
_cell_length_c 10.911
_cell_angle_alpha 27.03
_cell_angle_beta 27.03
_cell_angle_gamma 27.03
loop_
_space_group_symop_operation_xyz
'x,y,z'
loop_
_atom_site_label
_atom_site_fract_x
_atom_site_fract_y
_atom_site_fract_z
Th1 0.115 0.115 0.115
Th2 0.885 0.885 0.885
Sc1 0.293 0.293 0.293
Sc2 0.707 0.707 0.707
Bi1 0.389 0.389 0.389
Bi2 0.611 0.611 0.611
Se1 0.207 0.207 0.207
Se2 0.793 0.793 0.793



# ScTiBiSe2, relaxed, DFT PBE
# space group: No. 123
# raw formation energy: 74 kJ per mole of atoms
# D(E_F): 1.884 states/eV per atom
data_ScTiBiSe2
_space_group_name_H-M_alt 'P 1'
_space_group_IT_number 1
_cell_length_a 5.571
_cell_length_b 5.571
_cell_length_c 5.448
_cell_angle_alpha 90.00
_cell_angle_beta 90.00
_cell_angle_gamma 90.00
loop_
_space_group_symop_operation_xyz
'x,y,z'
loop_
_atom_site_label
_atom_site_fract_x
_atom_site_fract_y
_atom_site_fract_z
Sc1 0.000 0.000 0.000
Ti1 0.500 0.500 0.000
Bi1 0.000 0.000 0.500
Se1 0.000 0.500 0.500
Se2 0.500 0.000 0.500



# ScTl3Bi2Se6, relaxed, DFT PBE
# space group: No. 12
# raw formation energy: -69 kJ per mole of atoms
data_ScTl3Bi2Se6
_space_group_name_H-M_alt 'P 1'
_space_group_IT_number 1
_cell_length_a 7.289
_cell_length_b 7.289
_cell_length_c 8.041
_cell_angle_alpha 98.69
_cell_angle_beta 98.69
_cell_angle_gamma 119.96
loop_
_space_group_symop_operation_xyz
'x,y,z'
loop_
_atom_site_label
_atom_site_fract_x
_atom_site_fract_y
_atom_site_fract_z
Sc1 0.000 0.000 0.000
Tl1 0.170 0.830 0.500
Tl2 0.500 0.500 0.500
Tl3 0.830 0.170 0.500
Bi1 0.334 0.666 0.000
Bi2 0.666 0.334 0.000
Se1 0.068 0.381 0.206
Se2 0.243 0.243 0.792
Se3 0.381 0.068 0.206
Se4 0.619 0.932 0.794
Se5 0.757 0.757 0.208
Se6 0.932 0.619 0.794



# ScTl3Bi3Se8, relaxed, DFT PBE
# space group: No. 166
# raw formation energy: -59 kJ per mole of atoms
# D(E_F): 0.471 states/eV per atom
data_ScTl3Bi3Se8
_space_group_name_H-M_alt 'P 1'
_space_group_IT_number 1
_cell_length_a 8.953
_cell_length_b 8.953
_cell_length_c 8.953
_cell_angle_alpha 56.09
_cell_angle_beta 56.09
_cell_angle_gamma 56.09
loop_
_space_group_symop_operation_xyz
'x,y,z'
loop_
_atom_site_label
_atom_site_fract_x
_atom_site_fract_y
_atom_site_fract_z
Sc1 0.000 0.000 0.000
Tl1 0.000 0.000 0.500
Tl2 0.000 0.500 0.000
Tl3 0.500 0.000 0.000
Bi1 0.000 0.500 0.500
Bi2 0.500 0.000 0.500
Bi3 0.500 0.500 0.000
Se1 0.226 0.226 0.757
Se2 0.226 0.757 0.226
Se3 0.243 0.774 0.774
Se4 0.258 0.258 0.258
Se5 0.742 0.742 0.742
Se6 0.757 0.226 0.226
Se7 0.774 0.243 0.774
Se8 0.774 0.774 0.243



# TmScBiSe, relaxed, DFT PBE
# space group: No. 160
# raw formation energy: -108 kJ per mole of atoms
# D(E_F): 0.766 states/eV per atom
data_TmScBiSe
_space_group_name_H-M_alt 'P 1'
_space_group_IT_number 1
_cell_length_a 4.055
_cell_length_b 4.055
_cell_length_c 21.360
_cell_angle_alpha 90.00
_cell_angle_beta 90.00
_cell_angle_gamma 120.00
loop_
_space_group_symop_operation_xyz
'x,y,z'
loop_
_atom_site_label
_atom_site_fract_x
_atom_site_fract_y
_atom_site_fract_z
Tm1 0.000 0.000 0.000
Tm2 0.333 0.667 0.667
Tm3 0.667 0.333 0.333
Sc1 0.000 0.000 0.185
Sc2 0.333 0.667 0.851
Sc3 0.667 0.333 0.518
Bi1 0.000 0.000 0.763
Bi2 0.333 0.667 0.430
Bi3 0.667 0.333 0.096
Se1 0.000 0.000 0.586
Se2 0.333 0.667 0.253
Se3 0.667 0.333 0.919



> Among the records above, which one has the highest raw formation energy?

ScTiBiSe2



> Which of these has the highest raw formation energy?

ScTiBiSe2